[1]
# CsHg2Te2 PBE optimized geometry
data_CsHg2Te2
_cell_length_a 5.4740
_cell_length_b 5.4740
_cell_length_c 11.6416
_cell_angle_alpha 90.00
_cell_angle_beta 90.00
_cell_angle_gamma 90.00
_space_group_name_H-M_alt 'I 4/m m m'
_space_group_IT_number 139
_space_group_name_Hall '-I 4 2'
loop_
_atom_site_label
_atom_site_type_symbol
_atom_site_fract_x
_atom_site_fract_y
_atom_site_fract_z
Cs1 Cs 0.0000 0.0000 0.0000
Hg1 Hg 0.0000 0.0000 0.3806
Te1 Te 0.0000 0.5000 0.2500
# - total magnetic moment (μB per atom) = 0.000
# - density (g/cm³) = 7.51
# - raw formation energy (eV/atom) = -0.35

---

[2]
# Cs2HgTe3 PBE optimized geometry
data_Cs2HgTe3
_cell_length_a 5.2064
_cell_length_b 24.9425
_cell_length_c 8.4705
_cell_angle_alpha 90.00
_cell_angle_beta 90.05
_cell_angle_gamma 90.00
_space_group_name_H-M_alt 'P 1 21/c 1'
_space_group_IT_number 14
loop_
_space_group_symop_operation_xyz
'x,y,z'
'-x,-y,-z'
'-x,y+1/2,-z+1/2'
'x,-y+1/2,z+1/2'
loop_
_atom_site_label
_atom_site_type_symbol
_atom_site_fract_x
_atom_site_fract_y
_atom_site_fract_z
Cs1 Cs 0.2493 0.0699 0.1599
Cs2 Cs 0.2490 0.2146 0.7257
Hg1 Hg 0.2499 0.5593 0.9949
Te1 Te 0.2503 0.0396 0.6821
Te2 Te 0.2510 0.6681 0.1066
Te3 Te 0.2508 0.6774 0.4325
# - total magnetic moment (μB per atom) = 0.000
# - density (g/cm³) = 5.13
# - raw formation energy (eV/atom) = -0.65

---

[3]
# Cs3HgTe2 PBE optimized geometry
data_Cs3HgTe2
_cell_length_a 8.8246
_cell_length_b 16.3942
_cell_length_c 9.8500
_cell_angle_alpha 90.00
_cell_angle_beta 90.00
_cell_angle_gamma 90.00
_space_group_name_H-M_alt 'I b a m'
_space_group_IT_number 72
_space_group_name_Hall '-I 2 2c'
loop_
_atom_site_label
_atom_site_type_symbol
_atom_site_fract_x
_atom_site_fract_y
_atom_site_fract_z
Cs1 Cs 0.0000 0.0000 0.2500
Cs2 Cs 0.0000 0.2733 0.2500
Hg1 Hg 0.0000 0.5000 0.0000
Te1 Te 0.2341 0.1275 0.0000
# - total magnetic moment (μB per atom) = 0.161
# - density (g/cm³) = 3.98
# - raw formation energy (eV/atom) = -0.73